No. 1
Here is ZnHgP2 after structural relaxation from Alexandria. Energies are from PBE.

The space group is P4mm (No. 99) and the conventional cell measures 3.2540, 3.2540 and 7.1695 Å, with angles of 90.00, 90.00 and 90.00 degrees. The asymmetric unit holds Zn at (0.0000, 0.0000, 0.0000), Hg at (0.5000, 0.5000, 0.2187), P at (0.0000, 0.0000, 0.6693) and P at (0.5000, 0.5000, 0.5840).

The formation energy is 0.111 eV per atom. The energy above the lowest structure with this stoichiometry is 49.9 meV per atom. The total energy is -11.9 eV per cell.

=====

No. 2
Here is Zn2HgP2 after structural relaxation from Alexandria. Energies are from PBE.

The space group is P4/mbm (No. 127) and the conventional cell measures 7.9197, 7.9197 and 2.8124 Å, with angles of 90.00, 90.00 and 90.00 degrees. The asymmetric unit holds Zn at (0.1427, 0.3573, 0.0000), Hg at (0.0000, 0.0000, 0.5000) and P at (0.1525, 0.6525, 0.5000).

The formation energy is 0.299 eV per atom. The energy above the lowest structure with this stoichiometry is 260.1 meV per atom. The total energy is -24.4 eV per cell.

=====

No. 3
Here is ZnHg2P after structural relaxation from Alexandria. Energies are from PBE.

The space group is Fm-3m (No. 225) and the conventional cell measures 6.8847, 6.8847 and 6.8847 Å, with angles of 90.00, 90.00 and 90.00 degrees. The asymmetric unit holds Zn at (0.0000, 0.0000, 0.0000), Hg at (0.2500, 0.2500, 0.2500) and P at (0.0000, 0.0000, 0.5000).

The formation energy is 0.427 eV per atom. The energy above the lowest structure with this stoichiometry is 387.0 meV per atom. The total energy is -22.3 eV per cell.

=====

No. 4
Here is Zn2HgP after structural relaxation from Alexandria. Energies are from PBE.

The space group is Cmmm (No. 65) and the conventional cell measures 3.7558, 5.4946 and 7.4336 Å, with angles of 90.00, 90.00 and 90.00 degrees. The asymmetric unit holds Zn at (0.0000, 0.0000, 0.2128), Hg at (0.0000, 0.5000, 0.5000) and P at (0.0000, 0.5000, 0.0000).

The formation energy is 0.249 eV per atom. The total energy is -14.5 eV per cell.

=====

No. 5
Here is ZnHgP2 after structural relaxation from Alexandria. Energies are from PBE.

The space group is I-4m2 (No. 119) and the conventional cell measures 4.3049, 4.3049 and 7.7415 Å, with angles of 90.00, 90.00 and 90.00 degrees. The asymmetric unit holds Zn at (0.0000, 0.0000, 0.0000), Hg at (0.0000, 0.5000, 0.7500), P at (0.0000, 0.0000, 0.5000) and P at (0.0000, 0.5000, 0.2500).

The formation energy is 0.618 eV per atom. The energy above the lowest structure with this stoichiometry is 556.4 meV per atom. The total energy is -19.8 eV per cell.

=====

No. 6
Here is ZnHg2P after structural relaxation from Alexandria. Energies are from PBE.

The space group is P4mm (No. 99) and the conventional cell measures 3.1392, 3.1392 and 9.1448 Å, with angles of 90.00, 90.00 and 90.00 degrees. The asymmetric unit holds Zn at (0.0000, 0.0000, 0.0000), Hg at (0.0000, 0.0000, 0.5704), Hg at (0.5000, 0.5000, 0.2548) and P at (0.5000, 0.5000, 0.8749).

The formation energy is 0.281 eV per atom. The energy above the lowest structure with this stoichiometry is 240.8 meV per atom. The total energy is -6.2 eV per cell.

=====

No. 7
Here is ZnHgP2 after structural relaxation from Alexandria. Energies are from PBE.

The space group is R3m (No. 160, hexagonal axes) and the conventional cell measures 3.2320, 3.2320 and 29.5299 Å, with angles of 90.00, 90.00 and 120.00 degrees. The asymmetric unit holds Zn at (0.0000, 0.0000, 0.0000), Hg at (0.0000, 0.0000, 0.7558), P at (0.0000, 0.0000, 0.2552) and P at (0.0000, 0.0000, 0.5459).

The formation energy is 0.164 eV per atom. The energy above the lowest structure with this stoichiometry is 102.2 meV per atom. The total energy is -35.2 eV per cell.

=====

No. 8
Here is ZnHgP2 after structural relaxation from Alexandria. Energies are from PBE.

The space group is P2/m (No. 10) and the conventional cell measures 3.7382, 3.7749 and 5.1978 Å, with angles of 90.00, 91.86 and 90.00 degrees. The asymmetric unit holds Zn at (0.0000, 0.0000, 0.0000), Hg at (0.5000, 0.5000, 0.0000), P at (0.0000, 0.0000, 0.5000) and P at (0.5000, 0.5000, 0.5000).

The formation energy is 0.353 eV per atom. The energy above the lowest structure with this stoichiometry is 291.5 meV per atom. The total energy is -11.0 eV per cell.